DFT (PBE) results for an optimized crystal structure of UMoRu.

Properties
- Raw total energy: -30.75 eV per formula unit
- Calculated volume: 51.3 Å³ per cell
- Energy above the most stable polymorph in this dataset: 0 meV per atom
- Magnetic moment: 0.00 μB per cell

abc: 2.8447 2.8447 7.3172
angles: 90.00 90.00 120.00
Space group P3m1 (No. 156)
Unique sites:
U (0.0000, 0.0000, 0.0000) [1 per cell]
Mo (0.6667, 0.3333, 0.3699) [1 per cell]
Ru (0.3333, 0.6667, 0.6531) [1 per cell]

DFT (PBE) results for an optimized crystal structure of LaIn2CoSn.

Properties
- Raw total energy: -22.65 eV per formula unit
- Calculated volume: 122.3 Å³ per cell
- Energy above the most stable polymorph in this dataset: 59 meV per atom
- Magnetic moment: 0.00 μB per cell

abc: 4.9638 4.9638 4.9650
angles: 90.00 90.00 90.00
Space group P4/mmm (No. 123)
Unique sites:
La (0.0000, 0.0000, 0.0000) [1 per cell]
In (0.0000, 0.5000, 0.5000) [2 per cell]
Co (0.5000, 0.5000, 0.5000) [1 per cell]
Sn (0.5000, 0.5000, 0.0000) [1 per cell]

DFT (PBE) results for an optimized crystal structure of CuBS2N.

Properties
- Raw total energy: -18.29 eV per formula unit
- E_form (uncorrected): 1.813 eV per atom
- Calculated volume: 77.2 Å³ per cell
- Energy above the most stable polymorph in this dataset: 1335 meV per atom
- Magnetic moment: 0.88 μB per cell

abc: 4.6847 4.6847 3.5170
angles: 90.00 90.00 90.00
Space group P4/mmm (No. 123)
Unique sites:
Cu (0.0000, 0.0000, 0.0000) [1 per cell]
B (0.5000, 0.5000, 0.5000) [1 per cell]
S (0.0000, 0.5000, 0.0000) [2 per cell]
N (0.0000, 0.0000, 0.5000) [1 per cell]

DFT (PBE) results for an optimized crystal structure of BaMn2AgCl8.

Properties
- Raw total energy: -52.66 eV per formula unit
- E_form (uncorrected): -1.231 eV per atom
- Calculated volume: 342.0 Å³ per cell
- Magnetic moment: 9.00 μB per cell

abc: 6.6439 6.6439 8.9471
angles: 90.00 90.00 120.00
Space group P-3 (No. 147)
Unique sites:
Ba (0.0000, 0.0000, 0.0000) [1 per cell]
Mn (0.3333, 0.6667, 0.7532) [2 per cell]
Ag (0.0000, 0.0000, 0.5000) [1 per cell]
Cl (0.0152, 0.3119, 0.6979) [6 per cell]
Cl (0.3333, 0.6667, 0.0073) [2 per cell]

DFT (PBE) results for an optimized crystal structure of Tb2Se5.

Properties
- Raw total energy: -36.23 eV per formula unit
- E_form (uncorrected): -1.364 eV per atom
- Calculated volume: 682.9 Å³ per cell
- Magnetic moment: 0.00 μB per cell

abc: 3.9941 42.8093 3.9940
angles: 90.00 90.00 90.00
Space group Cmcm (No. 63)
Unique sites:
Tb (0.0000, 0.1040, 0.2500) [4 per cell]
Tb (0.0000, 0.3058, 0.2500) [4 per cell]
Se (0.0000, 0.0499, 0.7500) [4 per cell]
Se (0.0000, 0.1760, 0.2500) [4 per cell]
Se (0.0000, 0.2500, 0.7500) [4 per cell]
Se (0.0000, 0.3750, 0.2500) [4 per cell]
Se (0.0000, 0.4501, 0.7500) [4 per cell]

DFT (PBE) results for an optimized crystal structure of ZrBeIO2.

Properties
- Raw total energy: -29.47 eV per formula unit
- E_form (uncorrected): -1.146 eV per atom
- Calculated volume: 103.2 Å³ per cell
- Energy above the most stable polymorph in this dataset: 0 meV per atom
- Magnetic moment: 0.00 μB per cell

abc: 4.0633 4.0633 6.2518
angles: 90.00 90.00 90.00
Space group P4/mmm (No. 123)
Unique sites:
Zr (0.0000, 0.0000, 0.0000) [1 per cell]
Be (0.5000, 0.5000, 0.5000) [1 per cell]
I (0.0000, 0.0000, 0.5000) [1 per cell]
O (0.0000, 0.5000, 0.0000) [2 per cell]

DFT (PBE) results for an optimized crystal structure of SrTe2N.

Properties
- Raw total energy: -15.63 eV per formula unit
- E_form (uncorrected): 0.165 eV per atom
- Calculated volume: 493.8 Å³ per cell
- Magnetic moment: 2.52 μB per cell

abc: 5.3208 5.3208 20.1408
angles: 90.00 90.00 120.00
Space group R-3m (No. 166, hexagonal axes)
Unique sites:
Sr (0.0000, 0.0000, 0.0000) [3 per cell]
Te (0.0000, 0.0000, 0.4029) [6 per cell]
N (0.0000, 0.0000, 0.5000) [3 per cell]

DFT (PBE) results for an optimized crystal structure of Ac3Tl2Cd4.

Properties
- Raw total energy: -23.80 eV per formula unit
- Calculated volume: 553.2 Å³ per cell
- Magnetic moment: 0.00 μB per cell

abc: 11.9408 5.1806 9.8533
angles: 90.00 114.83 90.00
Space group C2/m (No. 12)
Unique sites:
Ac (0.0000, 0.0000, 0.0000) [2 per cell]
Ac (0.1663, 0.5000, 0.6701) [4 per cell]
Tl (0.1112, 0.5000, 0.2761) [4 per cell]
Cd (0.0691, 0.0000, 0.4068) [4 per cell]
Cd (0.2121, 0.5000, 0.0390) [4 per cell]

DFT (PBE) results for an optimized crystal structure of Be3TcSe.

Properties
- Raw total energy: -19.54 eV per formula unit
- E_form (uncorrected): 1.097 eV per atom
- Calculated volume: 77.4 Å³ per cell
- Energy above the most stable polymorph in this dataset: 0 meV per atom
- Magnetic moment: 0.99 μB per cell

abc: 4.2624 4.2624 4.2624
angles: 90.00 90.00 90.00
Space group Pm-3m (No. 221)
Unique sites:
Be (0.0000, 0.0000, 0.5000) [3 per cell]
Tc (0.0000, 0.0000, 0.0000) [1 per cell]
Se (0.5000, 0.5000, 0.5000) [1 per cell]

The highest raw total energy belongs to which entry? SrTe2N

Which of these has the highest calculated volume? Tb2Se5

Look up the magnetic moment of the first one. 0.00 μB per cell

Copy entry 2 word for word.
DFT (PBE) results for an optimized crystal structure of LaIn2CoSn.

Properties
- Raw total energy: -22.65 eV per formula unit
- Calculated volume: 122.3 Å³ per cell
- Energy above the most stable polymorph in this dataset: 59 meV per atom
- Magnetic moment: 0.00 μB per cell

abc: 4.9638 4.9638 4.9650
angles: 90.00 90.00 90.00
Space group P4/mmm (No. 123)
Unique sites:
La (0.0000, 0.0000, 0.0000) [1 per cell]
In (0.0000, 0.5000, 0.5000) [2 per cell]
Co (0.5000, 0.5000, 0.5000) [1 per cell]
Sn (0.5000, 0.5000, 0.0000) [1 per cell]